No. 1
EuYAu2 PBE-GGA optimized geometry; final energy = -6.540 eV per atom; energy relative to the lowest polymorph listed for this composition = 0.105 eV per atom; V = 28.18 Å³ per atom; formation energy from the elements = -717 meV/atom; total moment = 7.1 μB per cell
1.0
-0.1579 -3.7507 -2.0488
3.3613 -2.6418 0.1136
-1.5548 -5.2162 5.2055
Eu Y Au
1 1 2
Direct
0.5000 0.5000 0.5000
0.0000 0.0000 0.0000
0.2569 0.2569 0.2292
0.7431 0.7431 0.7708



No. 2
Eu2YAu PBE-GGA optimized geometry; final energy = -7.638 eV per atom; energy relative to the lowest polymorph listed for this composition = 0.260 eV per atom; V = 34.27 Å³ per atom; formation energy from the elements = -66 meV/atom; total moment = 15.3 μB per cell
1.0
3.7452 0.0000 0.0000
1.8726 3.2434 0.0000
1.8726 1.0811 11.2859
Y Eu Au
1 2 1
Direct
0.0000 0.0000 0.0000
0.1026 0.1026 0.6923
0.8974 0.8974 0.3077
0.5000 0.5000 0.5000



No. 3
EuYAu PBE-GGA optimized geometry; final energy = -7.047 eV per atom; energy relative to the lowest polymorph listed for this composition = 0.160 eV per atom; V = 29.54 Å³ per atom; formation energy from the elements = -375 meV/atom; total moment = 7.2 μB per cell
1.0
-0.7352 2.2157 -3.4311
-4.5284 -2.0111 -0.3284
0.6724 4.1975 2.5666
Y Eu Au
1 1 1
Direct
0.2145 0.3333 0.6667
0.6972 0.6667 0.3333
0.0883 0.0000 0.0000